The following is a DFT calculation (PBE) of an optimized crystal structure of CuIr2W.

extended XYZ file:
```
4
Lattice="-1.4184 2.2700 4.4461 1.4184 -2.2700 4.4461 1.4184 2.2700 -4.4461" Properties=species:S:1:pos:R:3 pbc="T T T"
Cu 0.0000 0.0000 0.0000
Ir 1.4184 0.0000 2.1060
Ir 0.0000 2.2700 2.3401
W 0.0000 0.0000 4.4461
```

Output
V in A^3/atom: 14.315
Energy relative to the elements in eV per atom: 0.13